[1]
The following is a PBE calculation of Ce5ZnRu6 after structural relaxation, from the Alexandria database.

```
Ce5ZnRu6
1.0
4.101 -5.440 0.000
4.101 5.440 0.000
-2.599 0.000 5.737
Ce Zn Ru
5 1 6
Direct
0.000 0.000 0.000
0.175 0.825 0.500
0.345 0.655 0.000
0.655 0.345 0.000
0.825 0.175 0.500
0.500 0.500 0.500
0.068 0.361 0.329
0.291 0.291 0.734
0.361 0.068 0.329
0.639 0.932 0.671
0.709 0.709 0.266
0.932 0.639 0.671
```

## Properties
The symmetry is No. 12. The value obtained for the size of the total moment is 0.00 μB/f.u. The energy above the most stable polymorph in this dataset is 132 meV/atom. The crystal system is monoclinic.

---

[2]
The following is a PBE calculation of MgTlW2 after structural relaxation, from the Alexandria database.

```
MgTlW2
1.0
4.803 -1.418 0.000
4.803 1.418 0.000
-0.474 0.000 5.381
Mg Tl W
1 1 2
Direct
0.000 0.000 0.000
0.248 0.248 0.767
0.503 0.503 0.475
0.748 0.748 0.271
```

## Properties
The symmetry is No. 8. The value obtained for the size of the total moment is 0.00 μB/f.u. The energy above the most stable polymorph in this dataset is 267 meV/atom. The crystal system is monoclinic.